Entry 1:
Crystalline Cs2MgPdCl6 at its relaxed geometry, computed with PBE-GGA.

a = 7.2717 Å, b = 7.2717 Å, c = 7.2725 Å
α = 60.00°, β = 60.00°, γ = 90.00°
Fractional positions:
Cs 0.7500 0.2500 0.5000
Cs 0.2500 0.7500 0.5000
Mg 0.5000 0.5000 0.0000
Pd 0.0000 0.0000 0.0000
Cl 0.2511 0.2511 0.4978
Cl 0.7489 0.7489 0.5022
Cl 0.2508 0.2508 0.0000
Cl 0.7492 0.7492 0.0000
Cl 0.7492 0.2508 0.0000
Cl 0.2508 0.7492 0.0000

Results
Symmetry: Fm-3m (225)
Raw formation energy: -1.4268 eV per atom
Energy relative to the lowest polymorph listed for this composition: 40 meV per atom
V: 27.19 Å³ per atom

Entry 2:
Crystalline Cs2MgPdCl6 at its relaxed geometry, computed with PBE-GGA.

a = 7.3586 Å, b = 7.3586 Å, c = 12.8761 Å
α = 73.40°, β = 73.40°, γ = 60.00°
Fractional positions:
Cs 0.8750 0.8750 0.3750
Cs 0.1250 0.1250 0.6250
Cs 0.7077 0.7077 0.8770
Cs 0.2923 0.2923 0.1230
Mg 0.5872 0.5872 0.2383
Mg 0.4128 0.4128 0.7617
Pd 0.0000 0.0000 0.0000
Pd 0.5000 0.5000 0.5000
Cl 0.8538 0.3888 0.3687
Cl 0.3888 0.8538 0.3687
Cl 0.3888 0.3888 0.3687
Cl 0.1462 0.6112 0.6313
Cl 0.6112 0.1462 0.6313
Cl 0.6112 0.6112 0.6313
Cl 0.7082 0.2071 0.8775
Cl 0.2071 0.7082 0.8775
Cl 0.2071 0.2071 0.8775
Cl 0.2918 0.7929 0.1225
Cl 0.7929 0.2918 0.1225
Cl 0.7929 0.7929 0.1225

Results
Symmetry: R-3m (166)
Raw formation energy: -1.4665 eV per atom
Energy relative to the lowest polymorph listed for this composition: 0 meV per atom
V: 28.50 Å³ per atom

Entry 3:
Crystalline Cs2PmMgCl6 at its relaxed geometry, computed with PBE-GGA.

a = 7.5597 Å, b = 7.5566 Å, c = 10.6916 Å
α = 90.00°, β = 90.00°, γ = 90.00°
Fractional positions:
Cs 0.5000 0.7500 0.2500
Cs 0.0000 0.2500 0.7500
Cs 0.5000 0.7500 0.7500
Cs 0.0000 0.2500 0.2500
Pm 0.5000 0.2496 0.5000
Pm 0.0000 0.7504 0.0000
Mg 0.0000 0.7498 0.5000
Mg 0.5000 0.2502 0.0000
Cl 0.5000 0.2501 0.2371
Cl 0.5000 0.2501 0.7629
Cl 0.0000 0.7499 0.2629
Cl 0.0000 0.7499 0.7371
Cl 0.2371 0.9868 0.5000
Cl 0.7629 0.9868 0.5000
Cl 0.2372 0.5126 0.5000
Cl 0.7628 0.5126 0.5000
Cl 0.7372 0.4874 0.0000
Cl 0.2628 0.4874 0.0000
Cl 0.2629 0.0132 0.0000
Cl 0.7371 0.0132 0.0000

Results
Symmetry: Pmmn (59)
Raw formation energy: -1.8977 eV per atom
V: 30.54 Å³ per atom

Entry 4:
Crystalline CsPmMgCl6 at its relaxed geometry, computed with PBE-GGA.

a = 6.9340 Å, b = 6.9339 Å, c = 7.7405 Å
α = 90.00°, β = 90.00°, γ = 60.00°
Fractional positions:
Cs 0.0000 0.0000 0.0000
Pm 0.3333 0.3334 0.5000
Mg 0.6666 0.6667 0.5000
Cl 0.9795 0.3897 0.3060
Cl 0.3896 0.9795 0.6940
Cl 0.6306 0.3899 0.6942
Cl 0.9794 0.6309 0.6941
Cl 0.3899 0.6306 0.3058
Cl 0.6308 0.9794 0.3059

Results
Symmetry: P312 (149)
Raw formation energy: -2.1071 eV per atom
V: 35.81 Å³ per atom

Entry 5:
Crystalline Cs2PrMgCl6 at its relaxed geometry, computed with PBE-GGA.

a = 7.6129 Å, b = 7.6128 Å, c = 10.7690 Å
α = 90.00°, β = 90.00°, γ = 90.00°
Fractional positions:
Cs 0.5000 0.7502 0.2499
Cs 0.0000 0.2498 0.7499
Cs 0.5000 0.7502 0.7501
Cs 0.0000 0.2498 0.2501
Pr 0.0000 0.7497 0.5000
Pr 0.5000 0.2503 0.0000
Mg 0.5000 0.2497 0.5000
Mg 0.0000 0.7503 0.0000
Cl 0.5000 0.2497 0.2649
Cl 0.5000 0.2497 0.7351
Cl 0.0000 0.7503 0.2351
Cl 0.0000 0.7503 0.7649
Cl 0.2649 0.0145 0.5000
Cl 0.7351 0.0145 0.5000
Cl 0.2648 0.4847 0.5000
Cl 0.7352 0.4847 0.5000
Cl 0.7648 0.5153 0.0000
Cl 0.2352 0.5153 0.0000
Cl 0.2351 0.9855 0.0000
Cl 0.7649 0.9855 0.0000

Results
Symmetry: Pmmn (59)
Raw formation energy: -1.9000 eV per atom
V: 31.21 Å³ per atom

Entry 6:
Crystalline CsMgPtCl6 at its relaxed geometry, computed with PBE-GGA.

a = 6.6354 Å, b = 6.4117 Å, c = 7.9362 Å
α = 88.92°, β = 87.80°, γ = 58.80°
Fractional positions:
Cs 0.0089 0.9831 0.9999
Mg 0.6757 0.6477 0.5000
Pt 0.3346 0.3307 0.4999
Cl 0.9956 0.3755 0.3032
Cl 0.3567 0.0165 0.6698
Cl 0.6284 0.3763 0.6972
Cl 0.0129 0.6278 0.6658
Cl 0.3597 0.6269 0.3339
Cl 0.6273 0.0155 0.3302

Results
Symmetry: P1 (1)
Raw formation energy: -1.2317 eV per atom
V: 32.07 Å³ per atom

Entry 7:
Crystalline Cs2PuMgCl6 at its relaxed geometry, computed with PBE-GGA.

a = 7.6119 Å, b = 7.6118 Å, c = 10.7654 Å
α = 90.00°, β = 90.00°, γ = 90.00°
Fractional positions:
Cs 0.5000 0.7504 0.2497
Cs 0.0000 0.2496 0.7497
Cs 0.5000 0.7504 0.7503
Cs 0.0000 0.2496 0.2503
Pu 0.0000 0.7493 0.5000
Pu 0.5000 0.2507 0.0000
Mg 0.5000 0.2495 0.5000
Mg 0.0000 0.7505 0.0000
Cl 0.5000 0.2496 0.2635
Cl 0.5000 0.2496 0.7365
Cl 0.0000 0.7504 0.2365
Cl 0.0000 0.7504 0.7635
Cl 0.2636 0.0129 0.5000
Cl 0.7364 0.0129 0.5000
Cl 0.2634 0.4857 0.5000
Cl 0.7366 0.4857 0.5000
Cl 0.7634 0.5143 0.0000
Cl 0.2366 0.5143 0.0000
Cl 0.2364 0.9871 0.0000
Cl 0.7636 0.9871 0.0000

Results
Symmetry: Pmmn (59)
Raw formation energy: -1.8828 eV per atom
V: 31.19 Å³ per atom

Entry 8:
Crystalline Cs2PuMg3Cl12 at its relaxed geometry, computed with PBE-GGA.

a = 9.7031 Å, b = 9.7031 Å, c = 9.7031 Å
α = 56.37°, β = 56.37°, γ = 56.37°
Fractional positions:
Cs 0.5924 0.5924 0.5924
Cs 0.4076 0.4076 0.4076
Pu 0.0000 0.0000 0.0000
Mg 0.5000 0.0000 0.0000
Mg 0.0000 0.5000 0.0000
Mg 0.0000 0.0000 0.5000
Cl 0.3182 0.3182 0.9211
Cl 0.9212 0.9212 0.3331
Cl 0.3331 0.9212 0.9212
Cl 0.9211 0.3182 0.3182
Cl 0.9212 0.3331 0.9212
Cl 0.3182 0.9211 0.3182
Cl 0.6818 0.6818 0.0789
Cl 0.0788 0.0788 0.6669
Cl 0.6669 0.0788 0.0788
Cl 0.0789 0.6818 0.6818
Cl 0.0788 0.6669 0.0788
Cl 0.6818 0.0789 0.6818

Results
Symmetry: R-3m (166)
Raw formation energy: -1.8132 eV per atom
V: 32.88 Å³ per atom

Entry 9:
Crystalline CsPu2MgCl8 at its relaxed geometry, computed with PBE-GGA.

a = 6.6608 Å, b = 6.5417 Å, c = 8.8878 Å
α = 89.94°, β = 89.96°, γ = 86.16°
Fractional positions:
Cs 0.0000 0.0000 0.5000
Pu 0.5001 0.5000 0.7625
Pu 0.4999 0.5000 0.2375
Mg 0.0000 0.0000 0.0000
Cl 0.1619 0.7696 0.1921
Cl 0.6671 0.7300 0.9998
Cl 0.8373 0.2297 0.1920
Cl 0.8381 0.2304 0.8079
Cl 0.3329 0.2700 0.0002
Cl 0.1627 0.7703 0.8080
Cl 0.5980 0.7221 0.4997
Cl 0.4020 0.2779 0.5003

Results
Symmetry: P-1 (2)
Raw formation energy: -1.8458 eV per atom
V: 32.20 Å³ per atom

Entry 10:
Crystalline CsRb2Mg2Cl7 at its relaxed geometry, computed with PBE-GGA.

a = 5.1047 Å, b = 5.1047 Å, c = 13.7737 Å
α = 79.30°, β = 79.30°, γ = 90.00°
Fractional positions:
Cs 0.0000 0.0000 0.0000
Rb 0.8166 0.8166 0.3664
Rb 0.1834 0.1834 0.6336
Mg 0.5975 0.5975 0.8035
Mg 0.4025 0.4025 0.1965
Cl 0.5000 0.5000 0.0000
Cl 0.3085 0.3085 0.3831
Cl 0.6915 0.6915 0.6169
Cl 0.9037 0.4035 0.1930
Cl 0.4035 0.9037 0.1930
Cl 0.5965 0.0963 0.8070
Cl 0.0963 0.5965 0.8070

Results
Symmetry: C2/m (12)
Raw formation energy: -1.9284 eV per atom
V: 28.86 Å³ per atom

Entry 11:
Crystalline Cs3Rb3MgCl8 at its relaxed geometry, computed with PBE-GGA.

a = 9.3785 Å, b = 9.3788 Å, c = 9.5955 Å
α = 119.25°, β = 90.00°, γ = 120.00°
Fractional positions:
Cs 0.0000 0.0000 0.0000
Cs 0.0000 0.5000 0.0000
Cs 0.5000 0.5000 0.0000
Rb 0.5000 0.0000 0.5000
Rb 0.5000 0.5000 0.5000
Rb 0.0000 0.5000 0.5000
Mg 0.0000 0.0000 0.5000
Cl 0.2555 0.5111 0.2665
Cl 0.7445 0.4889 0.7335
Cl 0.8057 0.6113 0.3125
Cl 0.1943 0.3887 0.6875
Cl 0.8059 0.0068 0.3127
Cl 0.1941 0.9932 0.6873
Cl 0.2010 0.0068 0.3127
Cl 0.7990 0.9932 0.6873

Results
Symmetry: R-3m (166)
Raw formation energy: -1.9266 eV per atom
V: 40.23 Å³ per atom

Entry 12:
Crystalline CsRb2MgCl5 at its relaxed geometry, computed with PBE-GGA.

a = 5.0671 Å, b = 7.6398 Å, c = 8.9411 Å
α = 115.29°, β = 106.46°, γ = 90.00°
Fractional positions:
Cs 0.0000 0.5000 0.0000
Rb 0.2101 0.2101 0.4202
Rb 0.7899 0.7899 0.5798
Mg 0.5000 0.0000 0.0000
Cl 0.6197 0.8863 0.2393
Cl 0.3803 0.1137 0.7607
Cl 0.3803 0.6470 0.7607
Cl 0.6197 0.3530 0.2393
Cl 0.0000 0.0000 0.0000

Results
Symmetry: Immm (71)
Raw formation energy: -1.9407 eV per atom
V: 33.02 Å³ per atom

Entry 13:
Crystalline Cs2MgRhCl6 at its relaxed geometry, computed with PBE-GGA.

a = 7.1866 Å, b = 7.1866 Å, c = 7.1843 Å
α = 59.99°, β = 59.99°, γ = 90.00°
Fractional positions:
Cs 0.7500 0.2500 0.5000
Cs 0.2500 0.7500 0.5000
Mg 0.5000 0.5000 0.0000
Rh 0.0000 0.0000 0.0000
Cl 0.2451 0.2451 0.5098
Cl 0.7549 0.7549 0.4902
Cl 0.2458 0.2458 0.0000
Cl 0.7542 0.7542 0.0000
Cl 0.7542 0.2458 0.0000
Cl 0.2458 0.7542 0.0000

Results
Symmetry: Fm-3m (225)
Raw formation energy: -1.4052 eV per atom
V: 26.23 Å³ per atom

Entry 14:
Crystalline CsMgSCl2 at its relaxed geometry, computed with PBE-GGA.

a = 5.2088 Å, b = 5.2088 Å, c = 5.0729 Å
α = 90.00°, β = 90.00°, γ = 90.00°
Fractional positions:
Cs 0.5000 0.5000 0.5000
S 0.0000 0.0000 0.5000
Mg 0.0000 0.0000 0.0000
Cl 0.0000 0.5000 0.0000
Cl 0.5000 0.0000 0.0000

Results
Symmetry: P4/mmm (123)
Raw formation energy: -1.3420 eV per atom
Energy relative to the lowest polymorph listed for this composition: 0 meV per atom
V: 27.53 Å³ per atom

Entry 15:
Crystalline CsMgSCl2 at its relaxed geometry, computed with PBE-GGA.

a = 6.0704 Å, b = 6.0704 Å, c = 5.5755 Å
α = 90.00°, β = 90.00°, γ = 90.00°
Fractional positions:
Cs 0.0000 0.0000 0.0000
S 0.0000 0.0000 0.5000
Mg 0.5000 0.5000 0.5000
Cl 0.0000 0.5000 0.0000
Cl 0.5000 0.0000 0.0000

Results
Symmetry: P4/mmm (123)
Raw formation energy: 0.0403 eV per atom
Energy relative to the lowest polymorph listed for this composition: 1382 meV per atom
V: 41.09 Å³ per atom

Entry 16:
Crystalline Cs2MgSCl6 at its relaxed geometry, computed with PBE-GGA.

a = 7.8154 Å, b = 7.8154 Å, c = 7.4877 Å
α = 58.54°, β = 58.54°, γ = 90.00°
Fractional positions:
Cs 0.7500 0.2500 0.5000
Cs 0.2500 0.7500 0.5000
S 0.0000 0.0000 0.0000
Mg 0.5000 0.5000 0.0000
Cl 0.2212 0.2212 0.5575
Cl 0.7788 0.7788 0.4425
Cl 0.2787 0.2787 0.0000
Cl 0.7213 0.7213 0.0000
Cl 0.7213 0.2787 0.0000
Cl 0.2787 0.7213 0.0000

Results
Symmetry: I4/mmm (139)
Raw formation energy: -1.2500 eV per atom
V: 30.86 Å³ per atom

Entry 17:
Crystalline CsMgS2Cl at its relaxed geometry, computed with PBE-GGA.

a = 5.4421 Å, b = 5.4421 Å, c = 6.0534 Å
α = 90.00°, β = 90.00°, γ = 90.00°
Fractional positions:
Cs 0.0000 0.0000 0.0000
S 0.0000 0.5000 0.0000
S 0.5000 0.0000 0.0000
Mg 0.5000 0.5000 0.5000
Cl 0.0000 0.0000 0.5000

Results
Symmetry: P4/mmm (123)
Raw formation energy: 0.4876 eV per atom
Energy relative to the lowest polymorph listed for this composition: 1325 meV per atom
V: 35.86 Å³ per atom

Entry 18:
Crystalline CsMgS2Cl at its relaxed geometry, computed with PBE-GGA.

a = 5.0017 Å, b = 5.0017 Å, c = 5.5021 Å
α = 90.00°, β = 90.00°, γ = 90.00°
Fractional positions:
Cs 0.5000 0.5000 0.5000
S 0.0000 0.5000 0.0000
S 0.5000 0.0000 0.0000
Mg 0.0000 0.0000 0.0000
Cl 0.0000 0.0000 0.5000

Results
Symmetry: P4/mmm (123)
Raw formation energy: -0.8374 eV per atom
Energy relative to the lowest polymorph listed for this composition: 0 meV per atom
V: 27.53 Å³ per atom

Entry 19:
Crystalline CsMgSbCl6 at its relaxed geometry, computed with PBE-GGA.

a = 6.8444 Å, b = 6.8444 Å, c = 7.7990 Å
α = 90.01°, β = 89.99°, γ = 59.98°
Fractional positions:
Cs 0.0000 0.0000 0.0000
Mg 0.6666 0.6666 0.5000
Sb 0.3333 0.3334 0.5000
Cl 0.9842 0.3846 0.3093
Cl 0.3846 0.9842 0.6906
Cl 0.6309 0.3850 0.6908
Cl 0.9839 0.6312 0.6907
Cl 0.3850 0.6309 0.3092
Cl 0.6312 0.9840 0.3093

Results
Symmetry: P312 (149)
Raw formation energy: -1.4787 eV per atom
V: 35.15 Å³ per atom

Entry 20:
Crystalline Cs2MgSbCl6 at its relaxed geometry, computed with PBE-GGA.

a = 7.4718 Å, b = 7.4718 Å, c = 7.9237 Å
α = 61.79°, β = 61.79°, γ = 90.00°
Fractional positions:
Cs 0.7500 0.2501 0.4999
Cs 0.2500 0.7499 0.5001
Mg 0.0000 0.0000 0.0000
Sb 0.5000 0.5000 0.0000
Cl 0.2046 0.2046 0.5912
Cl 0.7518 0.7515 0.0009
Cl 0.2480 0.7522 0.0000
Cl 0.7520 0.2478 0.0000
Cl 0.2482 0.2485 0.9991
Cl 0.7954 0.7954 0.4088

Results
Symmetry: C2/m (12)
Raw formation energy: -1.5051 eV per atom
V: 32.90 Å³ per atom

Entry 21:
Crystalline Cs2MgScCl6 at its relaxed geometry, computed with PBE-GGA.

a = 7.3329 Å, b = 7.3588 Å, c = 7.3579 Å
α = 59.78°, β = 60.11°, γ = 90.00°
Fractional positions:
Cs 0.2508 0.7491 0.4984
Cs 0.7492 0.2509 0.5016
Mg 0.5000 0.5000 0.0000
Sc 0.0000 0.0000 0.0000
Cl 0.2543 0.7457 0.9993
Cl 0.7463 0.7457 0.9993
Cl 0.2544 0.2537 0.4913
Cl 0.7457 0.2543 0.0007
Cl 0.2537 0.2543 0.0007
Cl 0.7456 0.7463 0.5087

Results
Symmetry: R-3m (166)
Raw formation energy: -1.8925 eV per atom
V: 28.03 Å³ per atom